Entry 1:
The following is a DFT calculation (PBE) of ThHgAs after structural relaxation.

Cell lengths 7.1059, 7.1059, 7.1059 Å; angles 90.00, 90.00, 90.00 degrees
Space group F-43m (No. 216)
Symmetry-distinct sites (fractional):
Th: 0.0000 0.0000 0.0000 (multiplicity 4)
Hg: 0.2500 0.2500 0.2500 (multiplicity 4)
As: 0.2500 0.2500 0.7500 (multiplicity 4)

Results
**Total magnetization**: 0.03 μB/cell
**Energy**: -4.493 eV per atom
**Energy above the most stable polymorph in this dataset**: 0.000 eV/atom

Entry 2:
The following is a DFT calculation (PBE) of KInAuO after structural relaxation.

Cell lengths 4.6504, 17.3346, 6.2332 Å; angles 90.00, 90.00, 90.00 degrees
Space group Cmm2 (No. 35)
Symmetry-distinct sites (fractional):
K: 0.0000 0.0973 0.0000 (multiplicity 4)
In: 0.0000 0.3744 0.5286 (multiplicity 4)
Au: 0.0000 0.2910 0.1683 (multiplicity 4)
O: 0.0000 0.3668 0.8495 (multiplicity 4)

Results
**Energy**: -3.442 eV per atom
**Energy above the most stable polymorph in this dataset**: 0.271 eV/atom

Entry 3:
The following is a DFT calculation (PBE) of RbPrCdSe3 after structural relaxation.

Cell lengths 11.5069, 4.3969, 15.3444 Å; angles 90.00, 90.00, 90.00 degrees
Space group Pnma (No. 62)
Symmetry-distinct sites (fractional):
Rb: 0.2299 0.2500 0.0040 (multiplicity 4)
Pr: 0.0092 0.7500 0.2573 (multiplicity 4)
Cd: 0.2405 0.7500 0.7879 (multiplicity 4)
Se: 0.0418 0.7500 0.8721 (multiplicity 4)
Se: 0.0700 0.2500 0.3833 (multiplicity 4)
Se: 0.2428 0.2500 0.6823 (multiplicity 4)

Results
**Total magnetization**: 0.00 μB/cell
**Energy**: -4.199 eV per atom
**Energy above the most stable polymorph in this dataset**: 0.000 eV/atom

Entry 4:
The following is a DFT calculation (PBE) of LaLu2Sn7 after structural relaxation.

Cell lengths 4.5843, 24.9021, 4.6072 Å; angles 90.00, 90.00, 90.00 degrees
Space group Cmmm (No. 65)
Symmetry-distinct sites (fractional):
La: 0.0000 0.0000 0.0000 (multiplicity 2)
Lu: 0.0000 0.1890 0.0000 (multiplicity 4)
Sn: 0.0000 0.1011 0.5000 (multiplicity 4)
Sn: 0.0000 0.2923 0.5000 (multiplicity 4)
Sn: 0.0000 0.3999 0.0000 (multiplicity 4)
Sn: 0.0000 0.5000 0.5000 (multiplicity 2)

Results
**Total magnetization**: 0.00 μB/cell
**Energy**: -4.704 eV per atom

Entry 5:
The following is a DFT calculation (PBE) of NdHoW2C3 after structural relaxation.

Cell lengths 12.0416, 3.3587, 5.8034 Å; angles 90.00, 113.78, 90.00 degrees
Space group Cm (No. 8)
Symmetry-distinct sites (fractional):
Nd: 0.0000 0.0000 0.0000 (multiplicity 2)
Ho: 0.2822 0.5000 0.3662 (multiplicity 2)
W: 0.0516 0.5000 0.5156 (multiplicity 2)
W: 0.2377 0.0000 0.8672 (multiplicity 2)
C: 0.1454 0.0000 0.4600 (multiplicity 2)
C: 0.1468 0.5000 0.9212 (multiplicity 2)
C: 0.3916 0.0000 0.2009 (multiplicity 2)

Results
**Total magnetization**: 0.00 μB/cell
**Energy**: -9.256 eV per atom

Entry 6:
The following is a DFT calculation (PBE) of PrTmMg after structural relaxation.

Cell lengths 7.4632, 7.4632, 7.4632 Å; angles 90.00, 90.00, 90.00 degrees
Space group F-43m (No. 216)
Symmetry-distinct sites (fractional):
Pr: 0.0000 0.0000 0.0000 (multiplicity 4)
Tm: 0.0000 0.0000 0.5000 (multiplicity 4)
Mg: 0.2500 0.2500 0.2500 (multiplicity 4)

Results
**Total magnetization**: 1.70 μB/cell
**Energy**: -3.205 eV per atom
**Energy above the most stable polymorph in this dataset**: 0.000 eV/atom

Entry 7:
The following is a DFT calculation (PBE) of PrZnInSe3 after structural relaxation.

Cell lengths 8.3009, 4.2131, 10.7019 Å; angles 90.00, 106.62, 90.00 degrees
Space group P2_1/m (No. 11)
Symmetry-distinct sites (fractional):
Pr: 0.2025 0.2500 0.1366 (multiplicity 2)
Zn: 0.4291 0.7500 0.3925 (multiplicity 2)
In: 0.2237 0.7500 0.7064 (multiplicity 2)
Se: 0.0487 0.2500 0.8518 (multiplicity 2)
Se: 0.2817 0.2500 0.4399 (multiplicity 2)
Se: 0.4645 0.7500 0.1707 (multiplicity 2)

Results
**Total magnetization**: 0.00 μB/cell
**Energy**: -4.243 eV per atom
**Energy above the most stable polymorph in this dataset**: 0.018 eV/atom

Entry 8:
The following is a DFT calculation (PBE) of BeNbAsO after structural relaxation.

Cell lengths 3.7179, 6.0927, 5.0413 Å; angles 90.00, 90.00, 90.00 degrees
Space group Pmc2_1 (No. 26)
Symmetry-distinct sites (fractional):
Be: 0.0000 0.0720 0.0000 (multiplicity 2)
Nb: 0.5000 0.3342 0.3206 (multiplicity 2)
As: 0.5000 0.2467 0.8183 (multiplicity 2)
O: 0.0000 0.1522 0.3128 (multiplicity 2)

Results
**Total magnetization**: 0.01 μB/cell
**Energy**: -6.846 eV per atom
**Energy above the most stable polymorph in this dataset**: 0.163 eV/atom

Entry 9:
The following is a DFT calculation (PBE) of InCu17 after structural relaxation.

Cell lengths 5.0977, 5.0977, 31.5086 Å; angles 90.00, 90.00, 120.00 degrees
Space group P-3m1 (No. 164)
Symmetry-distinct sites (fractional):
In: 0.3333 0.6667 0.2876 (multiplicity 2)
Cu: 0.0000 0.0000 0.0000 (multiplicity 1)
Cu: 0.0000 0.0000 0.1970 (multiplicity 2)
Cu: 0.0000 0.5000 0.0000 (multiplicity 3)
Cu: 0.0030 0.5015 0.1980 (multiplicity 6)
Cu: 0.1663 0.3325 0.7368 (multiplicity 6)
Cu: 0.1667 0.3334 0.9339 (multiplicity 6)
Cu: 0.1669 0.3338 0.1317 (multiplicity 6)
Cu: 0.3333 0.6667 0.0658 (multiplicity 2)
Cu: 0.3333 0.6667 0.8680 (multiplicity 2)

Results
**Energy**: -3.595 eV per atom
**Energy above the most stable polymorph in this dataset**: 0.000 eV/atom

Entry 10:
The following is a DFT calculation (PBE) of TmSnTeAuSe2 after structural relaxation.

Cell lengths 4.0694, 14.1488, 11.0153 Å; angles 90.00, 90.00, 90.00 degrees
Space group Cmcm (No. 63)
Symmetry-distinct sites (fractional):
Tm: 0.0000 0.0000 0.0000 (multiplicity 4)
Sn: 0.0000 0.2003 0.2500 (multiplicity 4)
Te: 0.0000 0.1047 0.7500 (multiplicity 4)
Au: 0.0000 0.4688 0.7500 (multiplicity 4)
Se: 0.0000 0.3624 0.5520 (multiplicity 8)

Results
**Total magnetization**: 0.01 μB/cell
**Energy**: -4.426 eV per atom

Entry 11:
The following is a DFT calculation (PBE) of Cd2GeAs4Pd after structural relaxation.

Cell lengths 5.9016, 5.9016, 11.9831 Å; angles 90.00, 90.00, 90.00 degrees
Space group I-4 (No. 82)
Symmetry-distinct sites (fractional):
Cd: 0.0000 0.0000 0.0000 (multiplicity 2)
Cd: 0.0000 0.5000 0.2500 (multiplicity 2)
Ge: 0.0000 0.0000 0.5000 (multiplicity 2)
As: 0.2145 0.2576 0.6245 (multiplicity 8)
Pd: 0.0000 0.5000 0.7500 (multiplicity 2)

Results
**Energy**: -3.788 eV per atom

no.,volume (Å³ per cell)
1,358.80
2,502.48
3,776.34
4,525.95
5,214.79
6,415.69
7,358.63
8,114.20
9,709.06
10,634.23
11,417.36